Cs2TlCd4Sn3 after structural relaxation, computed with GGA-PBE.

The total energy is -2.08 eV/atom.

CIF file:
```
data_Cs2TlCd4Sn3
_chemical_formula_sum 'Cs2 Tl1 Cd4 Sn3'
_symmetry_space_group_name_H-M 'P -4 m 2'
_symmetry_Int_Tables_number 115
_symmetry_space_group_name_Hall 'P -4 -2'
_cell_length_a 5.119
_cell_length_b 5.119
_cell_length_c 12.574
_cell_angle_alpha 90.00
_cell_angle_beta 90.00
_cell_angle_gamma 90.00
loop_
_atom_site_label
_atom_site_type_symbol
_atom_site_fract_x
_atom_site_fract_y
_atom_site_fract_z
Cs1 Cs 0.000 0.500 0.245
Tl1 Tl 0.000 0.000 0.500
Cd1 Cd 0.000 0.000 0.000
Cd2 Cd 0.000 0.500 0.638
Cd3 Cd 0.500 0.500 0.000
Sn1 Sn 0.000 0.500 0.874
Sn2 Sn 0.500 0.500 0.500
```

=====

Cs2Tl4Cd3Sn after structural relaxation, computed with GGA-PBE.

The total energy is -1.85 eV/atom.

CIF file:
```
data_Cs2Tl4Cd3Sn
_chemical_formula_sum 'Cs2 Tl4 Cd3 Sn1'
_symmetry_space_group_name_H-M 'P -4 m 2'
_symmetry_Int_Tables_number 115
_symmetry_space_group_name_Hall 'P -4 -2'
_cell_length_a 5.195
_cell_length_b 5.195
_cell_length_c 13.162
_cell_angle_alpha 90.00
_cell_angle_beta 90.00
_cell_angle_gamma 90.00
loop_
_atom_site_label
_atom_site_type_symbol
_atom_site_fract_x
_atom_site_fract_y
_atom_site_fract_z
Cs1 Cs 0.000 0.500 0.248
Tl1 Tl 0.000 0.000 0.500
Tl2 Tl 0.000 0.500 0.867
Tl3 Tl 0.500 0.500 0.500
Cd1 Cd 0.000 0.000 0.000
Cd2 Cd 0.000 0.500 0.630
Sn1 Sn 0.500 0.500 0.000
```

=====

Cs2TlCd3Sn4 after structural relaxation, computed with GGA-PBE.

The total energy is -2.40 eV/atom.

CIF file:
```
data_Cs2TlCd3Sn4
_chemical_formula_sum 'Cs2 Tl1 Cd3 Sn4'
_symmetry_space_group_name_H-M 'P -4 m 2'
_symmetry_Int_Tables_number 115
_symmetry_space_group_name_Hall 'P -4 -2'
_cell_length_a 5.119
_cell_length_b 5.119
_cell_length_c 12.618
_cell_angle_alpha 90.00
_cell_angle_beta 90.00
_cell_angle_gamma 90.00
loop_
_atom_site_label
_atom_site_type_symbol
_atom_site_fract_x
_atom_site_fract_y
_atom_site_fract_z
Cs1 Cs 0.000 0.500 0.248
Tl1 Tl 0.500 0.500 0.000
Cd1 Cd 0.000 0.000 0.000
Cd2 Cd 0.000 0.500 0.632
Sn1 Sn 0.000 0.000 0.500
Sn2 Sn 0.000 0.500 0.867
Sn3 Sn 0.500 0.500 0.500
```

=====

Cs2Tl3Cd4Sn after structural relaxation, computed with GGA-PBE.

The total energy is -1.70 eV/atom.

CIF file:
```
data_Cs2Tl3Cd4Sn
_chemical_formula_sum 'Cs2 Tl3 Cd4 Sn1'
_symmetry_space_group_name_H-M 'P -4 m 2'
_symmetry_Int_Tables_number 115
_symmetry_space_group_name_Hall 'P -4 -2'
_cell_length_a 5.294
_cell_length_b 5.294
_cell_length_c 12.498
_cell_angle_alpha 90.00
_cell_angle_beta 90.00
_cell_angle_gamma 90.00
loop_
_atom_site_label
_atom_site_type_symbol
_atom_site_fract_x
_atom_site_fract_y
_atom_site_fract_z
Cs1 Cs 0.000 0.500 0.249
Tl1 Tl 0.000 0.500 0.875
Tl2 Tl 0.500 0.500 0.500
Cd1 Cd 0.000 0.000 0.000
Cd2 Cd 0.000 0.500 0.625
Cd3 Cd 0.500 0.500 0.000
Sn1 Sn 0.000 0.000 0.500
```